VASP calculation (PBE) on NdHS after structural relaxation.

a b c (Å): 4.7381 4.7381 4.7381
angles (deg): 133.18 133.18 68.38
Closest atoms and distances in Å follow each position.
Atoms (fractional coordinates):
Nd 0.0000 0.0000 0.0000  1 H 2.34
H 0.7018 0.7018 0.0000  1 Nd 2.34
S 0.3632 0.3632 0.0000  5 H 2.65-2.95, 5 Nd 2.85-2.87

Results
The total energy is -15.3 eV per cell. For the total magnetic moment, the calculation gives 0.00 μB per cell.

=====

VASP calculation (PBE) on VHSN2 after structural relaxation.

a b c (Å): 3.8005 3.8005 2.9730
angles (deg): 90.00 90.00 90.00
Closest atoms and distances in Å follow each position.
Atoms (fractional coordinates):
V 0.0000 0.0000 0.0000  8 N 2.41, 4 S 2.69
H 0.5000 0.5000 0.5000  2 S 1.49
S 0.5000 0.5000 0.0000  2 H 1.49
N 0.0000 0.5000 0.5000  2 H 1.90
N 0.5000 0.0000 0.5000  2 H 1.90

Results
The calculation puts the distance to the lowest polymorph of the same formula at 528 meV/atom. The total energy is -26.2 eV per cell. For the total magnetic moment, the calculation gives 1.48 μB per cell.

=====

VASP calculation (PBE) on Pr2Ni4B after structural relaxation.

a b c (Å): 8.1371 8.1371 8.1371
angles (deg): 151.80 151.80 40.31
Closest atoms and distances in Å follow each position.
Atoms (fractional coordinates):
Pr 0.1583 0.1583 0.0000  8 Ni 2.85-3.13
Pr 0.8417 0.8417 0.0000  8 Ni 2.85-3.13
Ni 0.0000 0.5000 0.5000  2 B 1.98
Ni 0.3735 0.3735 0.0000  1 B 1.93
Ni 0.5000 0.0000 0.5000  2 B 1.98
Ni 0.6265 0.6265 0.0000  1 B 1.93
B 0.5000 0.5000 0.0000  6 Ni 1.93-1.98

Results
The total energy is -41.2 eV per cell. The value obtained for the formation energy is -176 kJ/mol of formula units. For the total magnetic moment, the calculation gives 0.00 μB per cell.

=====

What did the second record say?
VASP calculation (PBE) on VHSN2 after structural relaxation.

a b c (Å): 3.8005 3.8005 2.9730
angles (deg): 90.00 90.00 90.00
Closest atoms and distances in Å follow each position.
Atoms (fractional coordinates):
V 0.0000 0.0000 0.0000  8 N 2.41, 4 S 2.69
H 0.5000 0.5000 0.5000  2 S 1.49
S 0.5000 0.5000 0.0000  2 H 1.49
N 0.0000 0.5000 0.5000  2 H 1.90
N 0.5000 0.0000 0.5000  2 H 1.90

Results
The calculation puts the distance to the lowest polymorph of the same formula at 528 meV/atom. The total energy is -26.2 eV per cell. For the total magnetic moment, the calculation gives 1.48 μB per cell.